The following is a GGA+U calculation of a relaxed Fe3O2F4 crystal, from Alexandria via LeMat-Bulk.

The calculation puts the relative energy among the computed polymorphs at 18 meV per atom. The energy is -5.830 eV per atom. For the magnetic moment, the calculation gives 14.0 μB/f.u.

a b c (Å): 4.817 5.758 7.824
angles (deg): 84.65 87.74 87.42
Space group P1 (No. 1)
Asymmetric unit:
Fe  0.000  0.000  0.000 [1 per cell]
Fe  0.013  0.638  0.327 [1 per cell]
Fe  0.038  0.288  0.661 [1 per cell]
Fe  0.497  0.821  0.672 [1 per cell]
Fe  0.515  0.140  0.329 [1 per cell]
Fe  0.537  0.463  0.989 [1 per cell]
O  0.196  0.352  0.432 [1 per cell]
O  0.219  0.005  0.770 [1 per cell]
O  0.833  0.927  0.228 [1 per cell]
O  0.836  0.276  0.883 [1 per cell]
F  0.223  0.672  0.094 [1 per cell]
F  0.314  0.169  0.092 [1 per cell]
F  0.314  0.827  0.443 [1 per cell]
F  0.318  0.520  0.752 [1 per cell]
F  0.719  0.091  0.571 [1 per cell]
F  0.722  0.783  0.885 [1 per cell]
F  0.723  0.450  0.232 [1 per cell]
F  0.803  0.613  0.566 [1 per cell]